(1)
Entry from the Alexandria database: a relaxed structure of K2LiCaLa (PBE).

Output
* energy of formation from the pure elements: 0.81 eV/atom

Structure (CIF):
```
data_K2LiCaLa
_chemical_formula_sum 'K2 Li1 Ca1 La1'
_space_group_name_H-M_alt 'P 4/m m m'
_space_group_IT_number 123
_space_group_name_Hall '-P 4 2'
_cell_length_a 6.9317
_cell_length_b 6.9317
_cell_length_c 6.5695
_cell_angle_alpha 90.00
_cell_angle_beta 90.00
_cell_angle_gamma 90.00
loop_
_atom_site_label
_atom_site_type_symbol
_atom_site_fract_x
_atom_site_fract_y
_atom_site_fract_z
K1 K 0.0000 0.5000 0.0000
Li1 Li 0.0000 0.0000 0.5000
Ca1 Ca 0.5000 0.5000 0.0000
La1 La 0.5000 0.5000 0.5000
```

***

(2)
Entry from the Alexandria database: a relaxed structure of K2CaLaMg (PBE).

Output
* energy of formation from the pure elements: 0.87 eV/atom

Structure (CIF):
```
data_K2CaLaMg
_chemical_formula_sum 'K2 Ca1 La1 Mg1'
_space_group_name_H-M_alt 'P 4/m m m'
_space_group_IT_number 123
_space_group_name_Hall '-P 4 2'
_cell_length_a 6.7319
_cell_length_b 6.7319
_cell_length_c 6.0855
_cell_angle_alpha 90.00
_cell_angle_beta 90.00
_cell_angle_gamma 90.00
loop_
_atom_site_label
_atom_site_type_symbol
_atom_site_fract_x
_atom_site_fract_y
_atom_site_fract_z
K1 K 0.0000 0.5000 0.0000
Ca1 Ca 0.0000 0.0000 0.5000
La1 La 0.5000 0.5000 0.0000
Mg1 Mg 0.5000 0.5000 0.5000
```

***

(3)
Entry from the Alexandria database: a relaxed structure of KCaLaNb2 (PBE).

Output
* energy of formation from the pure elements: 1.83 eV/atom

Structure (CIF):
```
data_KCaLaNb2
_chemical_formula_sum 'K1 Ca1 La1 Nb2'
_space_group_name_H-M_alt 'P 4/m m m'
_space_group_IT_number 123
_space_group_name_Hall '-P 4 2'
_cell_length_a 5.3037
_cell_length_b 5.3037
_cell_length_c 5.9084
_cell_angle_alpha 90.00
_cell_angle_beta 90.00
_cell_angle_gamma 90.00
loop_
_atom_site_label
_atom_site_type_symbol
_atom_site_fract_x
_atom_site_fract_y
_atom_site_fract_z
K1 K 0.0000 0.0000 0.0000
Ca1 Ca 0.5000 0.5000 0.5000
La1 La 0.5000 0.5000 0.0000
Nb1 Nb 0.0000 0.5000 0.5000
```

***

(4)
Entry from the Alexandria database: a relaxed structure of KCaLaO2 (PBE).

Output
* formation energy from raw total energies: -91.9 kJ per mole of atoms

Structure (CIF):
```
data_KCaLaO2
_chemical_formula_sum 'K1 Ca1 La1 O2'
_space_group_name_H-M_alt 'P 4/m m m'
_space_group_IT_number 123
_space_group_name_Hall '-P 4 2'
_cell_length_a 4.7192
_cell_length_b 4.7192
_cell_length_c 6.2659
_cell_angle_alpha 90.00
_cell_angle_beta 90.00
_cell_angle_gamma 90.00
loop_
_atom_site_label
_atom_site_type_symbol
_atom_site_fract_x
_atom_site_fract_y
_atom_site_fract_z
K1 K 0.0000 0.0000 0.0000
Ca1 Ca 0.5000 0.5000 0.0000
La1 La 0.0000 0.0000 0.5000
O1 O 0.0000 0.5000 0.5000
```

***

(5)
Entry from the Alexandria database: a relaxed structure of KCa2LaOs (PBE).

Output
* excess energy over the best structure of this formula in the dataset: 0 meV per atom
* energy of formation from the pure elements: 0.14 eV/atom

Structure (CIF):
```
data_KCa2LaOs
_chemical_formula_sum 'K1 Ca2 La1 Os1'
_space_group_name_H-M_alt 'P 4/m m m'
_space_group_IT_number 123
_space_group_name_Hall '-P 4 2'
_cell_length_a 5.9330
_cell_length_b 5.9330
_cell_length_c 5.3535
_cell_angle_alpha 90.00
_cell_angle_beta 90.00
_cell_angle_gamma 90.00
loop_
_atom_site_label
_atom_site_type_symbol
_atom_site_fract_x
_atom_site_fract_y
_atom_site_fract_z
K1 K 0.0000 0.0000 0.0000
Ca1 Ca 0.0000 0.5000 0.5000
La1 La 0.5000 0.5000 0.0000
Os1 Os 0.5000 0.5000 0.5000
```

***

(6)
Entry from the Alexandria database: a relaxed structure of KCaLaOs2 (PBE).

Output
* energy of formation from the pure elements: 1.42 eV/atom

Structure (CIF):
```
data_KCaLaOs2
_chemical_formula_sum 'K1 Ca1 La1 Os2'
_space_group_name_H-M_alt 'P 4/m m m'
_space_group_IT_number 123
_space_group_name_Hall '-P 4 2'
_cell_length_a 5.0253
_cell_length_b 5.0253
_cell_length_c 5.5528
_cell_angle_alpha 90.00
_cell_angle_beta 90.00
_cell_angle_gamma 90.00
loop_
_atom_site_label
_atom_site_type_symbol
_atom_site_fract_x
_atom_site_fract_y
_atom_site_fract_z
K1 K 0.0000 0.0000 0.0000
Ca1 Ca 0.5000 0.5000 0.0000
La1 La 0.0000 0.0000 0.5000
Os1 Os 0.0000 0.5000 0.5000
```

***

(7)
Entry from the Alexandria database: a relaxed structure of KCaLa2Os (PBE).

Output
* energy of formation from the pure elements: 0.07 eV/atom

Structure (CIF):
```
data_KCaLa2Os
_chemical_formula_sum 'K1 Ca1 La2 Os1'
_space_group_name_H-M_alt 'P 4/m m m'
_space_group_IT_number 123
_space_group_name_Hall '-P 4 2'
_cell_length_a 5.6436
_cell_length_b 5.6436
_cell_length_c 6.0461
_cell_angle_alpha 90.00
_cell_angle_beta 90.00
_cell_angle_gamma 90.00
loop_
_atom_site_label
_atom_site_type_symbol
_atom_site_fract_x
_atom_site_fract_y
_atom_site_fract_z
K1 K 0.0000 0.0000 0.0000
Ca1 Ca 0.5000 0.5000 0.0000
La1 La 0.0000 0.5000 0.5000
Os1 Os 0.5000 0.5000 0.5000
```

***

(8)
Entry from the Alexandria database: a relaxed structure of KCa2LaOs (PBE).

Output
* excess energy over the best structure of this formula in the dataset: 753 meV per atom
* energy of formation from the pure elements: 0.89 eV/atom

Structure (CIF):
```
data_KCa2LaOs
_chemical_formula_sum 'K1 Ca2 La1 Os1'
_space_group_name_H-M_alt 'P 4/m m m'
_space_group_IT_number 123
_space_group_name_Hall '-P 4 2'
_cell_length_a 6.4164
_cell_length_b 6.4164
_cell_length_c 4.9685
_cell_angle_alpha 90.00
_cell_angle_beta 90.00
_cell_angle_gamma 90.00
loop_
_atom_site_label
_atom_site_type_symbol
_atom_site_fract_x
_atom_site_fract_y
_atom_site_fract_z
K1 K 0.0000 0.0000 0.0000
Ca1 Ca 0.0000 0.5000 0.5000
La1 La 0.5000 0.5000 0.5000
Os1 Os 0.5000 0.5000 0.0000
```

***

(9)
Entry from the Alexandria database: a relaxed structure of KCa2LaP (PBE).

Output
* energy of formation from the pure elements: 0.67 eV/atom

Structure (CIF):
```
data_KCa2LaP
_chemical_formula_sum 'K1 Ca2 La1 P1'
_space_group_name_H-M_alt 'P 4/m m m'
_space_group_IT_number 123
_space_group_name_Hall '-P 4 2'
_cell_length_a 5.6363
_cell_length_b 5.6363
_cell_length_c 5.5711
_cell_angle_alpha 90.00
_cell_angle_beta 90.00
_cell_angle_gamma 90.00
loop_
_atom_site_label
_atom_site_type_symbol
_atom_site_fract_x
_atom_site_fract_y
_atom_site_fract_z
K1 K 0.0000 0.0000 0.0000
Ca1 Ca 0.0000 0.5000 0.0000
La1 La 0.5000 0.5000 0.5000
P1 P 0.0000 0.0000 0.5000
```

***

(10)
Entry from the Alexandria database: a relaxed structure of KCaLa2Pt (PBE).

Output
* energy of formation from the pure elements: -0.34 eV/atom

Structure (CIF):
```
data_KCaLa2Pt
_chemical_formula_sum 'K1 Ca1 La2 Pt1'
_space_group_name_H-M_alt 'P 4/m m m'
_space_group_IT_number 123
_space_group_name_Hall '-P 4 2'
_cell_length_a 5.7668
_cell_length_b 5.7668
_cell_length_c 6.0026
_cell_angle_alpha 90.00
_cell_angle_beta 90.00
_cell_angle_gamma 90.00
loop_
_atom_site_label
_atom_site_type_symbol
_atom_site_fract_x
_atom_site_fract_y
_atom_site_fract_z
K1 K 0.0000 0.0000 0.0000
Ca1 Ca 0.5000 0.5000 0.0000
La1 La 0.0000 0.5000 0.5000
Pt1 Pt 0.5000 0.5000 0.5000
```

***

(11)
Entry from the Alexandria database: a relaxed structure of KCaLa2Rh (PBE).

Output
* energy of formation from the pure elements: -0.19 eV/atom

Structure (CIF):
```
data_KCaLa2Rh
_chemical_formula_sum 'K1 Ca1 La2 Rh1'
_space_group_name_H-M_alt 'P 4/m m m'
_space_group_IT_number 123
_space_group_name_Hall '-P 4 2'
_cell_length_a 5.6455
_cell_length_b 5.6455
_cell_length_c 6.0472
_cell_angle_alpha 90.00
_cell_angle_beta 90.00
_cell_angle_gamma 90.00
loop_
_atom_site_label
_atom_site_type_symbol
_atom_site_fract_x
_atom_site_fract_y
_atom_site_fract_z
K1 K 0.0000 0.0000 0.0000
Ca1 Ca 0.5000 0.5000 0.0000
La1 La 0.0000 0.5000 0.5000
Rh1 Rh 0.5000 0.5000 0.5000
```

***

(12)
Entry from the Alexandria database: a relaxed structure of KCaLa2Ru (PBE).

Output
* excess energy over the best structure of this formula in the dataset: 0 meV per atom
* energy of formation from the pure elements: -0.03 eV/atom

Structure (CIF):
```
data_KCaLa2Ru
_chemical_formula_sum 'K1 Ca1 La2 Ru1'
_space_group_name_H-M_alt 'P 4/m m m'
_space_group_IT_number 123
_space_group_name_Hall '-P 4 2'
_cell_length_a 5.5238
_cell_length_b 5.5238
_cell_length_c 6.1451
_cell_angle_alpha 90.00
_cell_angle_beta 90.00
_cell_angle_gamma 90.00
loop_
_atom_site_label
_atom_site_type_symbol
_atom_site_fract_x
_atom_site_fract_y
_atom_site_fract_z
K1 K 0.0000 0.0000 0.0000
Ca1 Ca 0.5000 0.5000 0.0000
La1 La 0.0000 0.5000 0.5000
Ru1 Ru 0.5000 0.5000 0.5000
```

***

(13)
Entry from the Alexandria database: a relaxed structure of KCaLa2Ru (PBE).

Output
* excess energy over the best structure of this formula in the dataset: 173 meV per atom
* energy of formation from the pure elements: 0.15 eV/atom

Structure (CIF):
```
data_KCaLa2Ru
_chemical_formula_sum 'K1 Ca1 La2 Ru1'
_space_group_name_H-M_alt 'P 4/m m m'
_space_group_IT_number 123
_space_group_name_Hall '-P 4 2'
_cell_length_a 5.4186
_cell_length_b 5.4186
_cell_length_c 6.6388
_cell_angle_alpha 90.00
_cell_angle_beta 90.00
_cell_angle_gamma 90.00
loop_
_atom_site_label
_atom_site_type_symbol
_atom_site_fract_x
_atom_site_fract_y
_atom_site_fract_z
K1 K 0.0000 0.0000 0.0000
Ca1 Ca 0.5000 0.5000 0.0000
La1 La 0.0000 0.5000 0.5000
Ru1 Ru 0.0000 0.0000 0.5000
```

***

(14)
Entry from the Alexandria database: a relaxed structure of KCa2LaRu (PBE).

Output
* energy of formation from the pure elements: 0.02 eV/atom

Structure (CIF):
```
data_KCa2LaRu
_chemical_formula_sum 'K1 Ca2 La1 Ru1'
_space_group_name_H-M_alt 'P 4/m m m'
_space_group_IT_number 123
_space_group_name_Hall '-P 4 2'
_cell_length_a 5.9523
_cell_length_b 5.9523
_cell_length_c 5.2770
_cell_angle_alpha 90.00
_cell_angle_beta 90.00
_cell_angle_gamma 90.00
loop_
_atom_site_label
_atom_site_type_symbol
_atom_site_fract_x
_atom_site_fract_y
_atom_site_fract_z
K1 K 0.0000 0.0000 0.0000
Ca1 Ca 0.0000 0.5000 0.5000
La1 La 0.5000 0.5000 0.0000
Ru1 Ru 0.5000 0.5000 0.5000
```

***

(15)
Entry from the Alexandria database: a relaxed structure of KCaLa2Se4 (PBE).

Output
* formation energy from raw total energies: -179.4 kJ per mole of atoms

Structure (CIF):
```
data_KCaLa2Se4
_chemical_formula_sum 'K1 Ca1 La2 Se4'
_space_group_name_H-M_alt 'P 1 2/m 1'
_space_group_IT_number 10
_cell_length_a 7.5735
_cell_length_b 4.3379
_cell_length_c 7.5998
_cell_angle_alpha 90.00
_cell_angle_beta 109.02
_cell_angle_gamma 90.00
loop_
_space_group_symop_operation_xyz
'x,y,z'
'-x,-y,-z'
'-x,y,-z'
'x,-y,z'
loop_
_atom_site_label
_atom_site_type_symbol
_atom_site_fract_x
_atom_site_fract_y
_atom_site_fract_z
K1 K 0.0000 0.0000 0.0000
Ca1 Ca 0.5000 0.5000 0.0000
La1 La 0.0000 0.5000 0.5000
La2 La 0.5000 0.0000 0.5000
Se1 Se 0.2585 0.0000 0.7478
Se2 Se 0.2646 0.5000 0.2647
```

***

Results for uncorrected energy: -6.99; -6.38; -19.02; -22.71; -20.58; -23.39; -23.86; -16.81; -12.08; -20.69; -21.27; -22.36; -21.49; -19.19; -41.77 (in eV/cell, following the order of the records).